# Rb3In2Se4, optimized geometry, DFT PBE
# Formation energy without anion corrections ... -0.899 eV/atom
# Size of the total moment ... 0.00 μB per cell
data_Rb3In2Se4
_chemical_formula_sum 'Rb6 In4 Se8'
_cell_length_a 9.2940
_cell_length_b 9.2940
_cell_length_c 8.2345
_cell_angle_alpha 93.38
_cell_angle_beta 93.38
_cell_angle_gamma 77.73
_space_group_name_H-M_alt 'P 1'
_space_group_IT_number 1
loop_
_space_group_symop_operation_xyz
'x,y,z'
loop_
_atom_site_label
_atom_site_fract_x
_atom_site_fract_y
_atom_site_fract_z
_atom_site_occupancy
Rb1 0.1094 0.8906 0.7500 1
Rb2 0.2419 0.5076 0.4176 1
Rb3 0.4924 0.7581 0.0824 1
Rb4 0.5076 0.2419 0.9176 1
Rb5 0.7581 0.4924 0.5824 1
Rb6 0.8906 0.1094 0.2500 1
In1 0.0827 0.3211 0.9173 1
In2 0.3211 0.0827 0.4173 1
In3 0.6789 0.9173 0.5827 1
In4 0.9173 0.6789 0.0827 1
Se1 0.0988 0.2343 0.5935 1
Se2 0.1971 0.5645 0.9875 1
Se3 0.2343 0.0988 0.0935 1
Se4 0.4355 0.8029 0.5125 1
Se5 0.5645 0.1971 0.4875 1
Se6 0.7657 0.9012 0.9065 1
Se7 0.8029 0.4355 0.0125 1
Se8 0.9012 0.7657 0.4065 1

---

# RbInSe2, optimized geometry, DFT PBE
# Formation energy without anion corrections ... -0.873 eV/atom
# Size of the total moment ... 0.00 μB per cell
data_RbInSe2
_chemical_formula_sum 'Rb2 In2 Se4'
_cell_length_a 4.1562
_cell_length_b 4.1562
_cell_length_c 14.9153
_cell_angle_alpha 90.00
_cell_angle_beta 90.00
_cell_angle_gamma 90.00
_space_group_name_H-M_alt 'P 1'
_space_group_IT_number 1
loop_
_space_group_symop_operation_xyz
'x,y,z'
loop_
_atom_site_label
_atom_site_fract_x
_atom_site_fract_y
_atom_site_fract_z
_atom_site_occupancy
Rb1 0.0000 0.0000 0.0000 1
Rb2 0.5000 0.5000 0.5000 1
In1 0.0000 0.5000 0.7500 1
In2 0.5000 0.0000 0.2500 1
Se1 0.0000 0.0000 0.3596 1
Se2 0.0000 0.0000 0.6404 1
Se3 0.5000 0.5000 0.1404 1
Se4 0.5000 0.5000 0.8596 1

---

# RbIn2Se, optimized geometry, DFT PBE
# Formation energy without anion corrections ... -0.166 eV/atom
# Size of the total moment ... 0.00 μB per cell
data_RbIn2Se
_chemical_formula_sum 'Rb3 In6 Se3'
_cell_length_a 4.1896
_cell_length_b 4.1896
_cell_length_c 33.2679
_cell_angle_alpha 90.00
_cell_angle_beta 90.00
_cell_angle_gamma 120.00
_space_group_name_H-M_alt 'P 1'
_space_group_IT_number 1
loop_
_space_group_symop_operation_xyz
'x,y,z'
loop_
_atom_site_label
_atom_site_fract_x
_atom_site_fract_y
_atom_site_fract_z
_atom_site_occupancy
Rb1 0.0000 0.0000 0.0000 1
Rb2 0.3333 0.6667 0.6667 1
Rb3 0.6667 0.3333 0.3333 1
In1 0.0000 0.0000 0.1142 1
In2 0.0000 0.0000 0.8858 1
In3 0.3333 0.6667 0.5525 1
In4 0.3333 0.6667 0.7808 1
In5 0.6667 0.3333 0.2192 1
In6 0.6667 0.3333 0.4475 1
Se1 0.0000 0.0000 0.5000 1
Se2 0.3333 0.6667 0.1667 1
Se3 0.6667 0.3333 0.8333 1

---

# RbIn2Se2, optimized geometry, DFT PBE
# Formation energy without anion corrections ... -0.612 eV/atom
# Offset from the most stable computed form ... 0 meV per atom
# Size of the total moment ... 0.00 μB per cell
data_RbIn2Se2
_chemical_formula_sum 'Rb2 In4 Se4'
_cell_length_a 5.4816
_cell_length_b 5.4816
_cell_length_c 10.2325
_cell_angle_alpha 90.00
_cell_angle_beta 90.00
_cell_angle_gamma 90.00
_space_group_name_H-M_alt 'P 1'
_space_group_IT_number 1
loop_
_space_group_symop_operation_xyz
'x,y,z'
loop_
_atom_site_label
_atom_site_fract_x
_atom_site_fract_y
_atom_site_fract_z
_atom_site_occupancy
Rb1 0.0000 0.0000 0.0000 1
Rb2 0.5000 0.5000 0.5000 1
In1 0.0000 0.0000 0.3507 1
In2 0.0000 0.0000 0.6493 1
In3 0.5000 0.5000 0.1493 1
In4 0.5000 0.5000 0.8507 1
Se1 0.0000 0.5000 0.2500 1
Se2 0.0000 0.5000 0.7500 1
Se3 0.5000 0.0000 0.2500 1
Se4 0.5000 0.0000 0.7500 1

---

# Rb2In2Se3, optimized geometry, DFT PBE
# Formation energy without anion corrections ... -0.711 eV/atom
# Size of the total moment ... 0.00 μB per cell
data_Rb2In2Se3
_chemical_formula_sum 'Rb2 In2 Se3'
_cell_length_a 4.2477
_cell_length_b 7.4320
_cell_length_c 8.1717
_cell_angle_alpha 74.41
_cell_angle_beta 76.85
_cell_angle_gamma 76.25
_space_group_name_H-M_alt 'P 1'
_space_group_IT_number 1
loop_
_space_group_symop_operation_xyz
'x,y,z'
loop_
_atom_site_label
_atom_site_fract_x
_atom_site_fract_y
_atom_site_fract_z
_atom_site_occupancy
Rb1 0.0619 0.2499 0.0981 1
Rb2 0.9381 0.7501 0.9019 1
In1 0.3372 0.2634 0.5584 1
In2 0.6628 0.7366 0.4416 1
Se1 0.0000 0.0000 0.5000 1
Se2 0.3604 0.5646 0.2597 1
Se3 0.6396 0.4354 0.7403 1

---

# RbIn2Se2, optimized geometry, DFT PBE
# Formation energy without anion corrections ... -0.437 eV/atom
# Offset from the most stable computed form ... 176 meV per atom
# Size of the total moment ... 0.00 μB per cell
data_RbIn2Se2
_chemical_formula_sum 'Rb2 In4 Se4'
_cell_length_a 4.6288
_cell_length_b 4.6288
_cell_length_c 14.5438
_cell_angle_alpha 90.00
_cell_angle_beta 90.00
_cell_angle_gamma 90.00
_space_group_name_H-M_alt 'P 1'
_space_group_IT_number 1
loop_
_space_group_symop_operation_xyz
'x,y,z'
loop_
_atom_site_label
_atom_site_fract_x
_atom_site_fract_y
_atom_site_fract_z
_atom_site_occupancy
Rb1 0.0000 0.0000 0.0000 1
Rb2 0.5000 0.5000 0.5000 1
In1 0.0000 0.5000 0.2500 1
In2 0.0000 0.5000 0.7500 1
In3 0.5000 0.0000 0.2500 1
In4 0.5000 0.0000 0.7500 1
Se1 0.0000 0.0000 0.4105 1
Se2 0.0000 0.0000 0.5895 1
Se3 0.5000 0.5000 0.0895 1
Se4 0.5000 0.5000 0.9105 1